No. 1
# meta-GGA SCAN Y2In, PBEsol geometry
# - ρ (Mg/m³) = 6.0
# - total energy (eV/cell) = -181.4
# - Fermi-level density of states (states/eV/cell) = 5.193
# - ΔH_f (0 K) (kcal/mol of atoms) = -12.6
data_Y2In
_chemical_formula_sum 'Y4 In2'
_symmetry_space_group_name_H-M 'P 1'
_symmetry_Int_Tables_number 1
_cell_length_a 5.3172
_cell_length_b 5.3172
_cell_length_c 6.6384
_cell_angle_alpha 90.00
_cell_angle_beta 90.00
_cell_angle_gamma 120.00
loop_
_symmetry_equiv_pos_as_xyz
'x,y,z'
loop_
_atom_site_label
_atom_site_fract_x
_atom_site_fract_y
_atom_site_fract_z
Y1 0.0000 0.0000 0.0000
Y2 0.0000 0.0000 0.5000
Y3 0.6667 0.3333 0.2500
Y4 0.3333 0.6667 0.7500
In1 0.6667 0.3333 0.7500
In2 0.3333 0.6667 0.2500

---

No. 2
# meta-GGA SCAN Y5In3, PBEsol geometry
# - ρ (Mg/m³) = 5.9
# - total energy (eV/cell) = -488.1
# - energy above the most stable polymorph in this dataset (kJ/mol of atoms) = 0.0
# - Fermi-level density of states (states/eV/cell) = 21.888
# - ΔH_f (0 K) (kcal/mol of atoms) = -13.4
data_Y5In3
_chemical_formula_sum 'Y10 In6'
_symmetry_space_group_name_H-M 'P 1'
_symmetry_Int_Tables_number 1
_cell_length_a 6.4439
_cell_length_b 8.9524
_cell_length_c 8.9524
_cell_angle_alpha 120.00
_cell_angle_beta 90.00
_cell_angle_gamma 90.00
loop_
_symmetry_equiv_pos_as_xyz
'x,y,z'
loop_
_atom_site_label
_atom_site_fract_x
_atom_site_fract_y
_atom_site_fract_z
In1 0.7500 0.0000 0.4015
In2 0.2500 0.0000 0.5985
In3 0.7500 0.4015 0.0000
In4 0.7500 0.5985 0.5985
In5 0.2500 0.4015 0.4015
In6 0.2500 0.5985 0.0000
Y1 0.0000 0.3333 0.6667
Y2 0.5000 0.6667 0.3333
Y3 0.0000 0.6667 0.3333
Y4 0.5000 0.3333 0.6667
Y5 0.7500 0.0000 0.7632
Y6 0.2500 0.0000 0.2368
Y7 0.7500 0.7632 0.0000
Y8 0.7500 0.2368 0.2368
Y9 0.2500 0.7632 0.7632
Y10 0.2500 0.2368 0.0000

---

No. 3
# meta-GGA SCAN Y2In, PBEsol geometry
# - ρ (Mg/m³) = 5.8
# - total energy (eV/cell) = -177.4
# - Fermi-level density of states (states/eV/cell) = 4.719
# - ΔH_f (0 K) (kcal/mol of atoms) = 3.0
data_Y2In
_chemical_formula_sum 'Y4 In2'
_symmetry_space_group_name_H-M 'P 1'
_symmetry_Int_Tables_number 1
_cell_length_a 6.1891
_cell_length_b 6.1891
_cell_length_c 6.1891
_cell_angle_alpha 60.00
_cell_angle_beta 60.00
_cell_angle_gamma 60.00
loop_
_symmetry_equiv_pos_as_xyz
'x,y,z'
loop_
_atom_site_label
_atom_site_fract_x
_atom_site_fract_y
_atom_site_fract_z
In1 0.5000 0.5000 0.5000
In2 0.7500 0.7500 0.7500
Y1 0.1250 0.1250 0.1250
Y2 0.1250 0.6250 0.1250
Y3 0.6250 0.1250 0.1250
Y4 0.1250 0.1250 0.6250

---

No. 4
# meta-GGA SCAN Y5In, PBEsol geometry
# - ρ (Mg/m³) = 5.4
# - total energy (eV/cell) = -173.7
# - energy above the most stable polymorph in this dataset (kJ/mol of atoms) = 3.7
# - Fermi-level density of states (states/eV/cell) = 6.294
# - ΔH_f (0 K) (kcal/mol of atoms) = -4.1
data_Y5In
_chemical_formula_sum 'Y5 In1'
_symmetry_space_group_name_H-M 'P 1'
_symmetry_Int_Tables_number 1
_cell_length_a 3.5534
_cell_length_b 5.4450
_cell_length_c 9.1283
_cell_angle_alpha 90.00
_cell_angle_beta 101.22
_cell_angle_gamma 90.00
loop_
_symmetry_equiv_pos_as_xyz
'x,y,z'
loop_
_atom_site_label
_atom_site_fract_x
_atom_site_fract_y
_atom_site_fract_z
Y1 0.3328 0.0000 0.6656
Y2 0.6599 0.0000 0.3197
Y3 0.4527 0.5000 0.9054
Y4 0.7770 0.5000 0.5540
Y5 0.1102 0.5000 0.2203
In1 0.0008 0.0000 0.0016

---

No. 5
# meta-GGA SCAN Y5In4, PBEsol geometry
# - ρ (Mg/m³) = 6.3
# - total energy (eV/cell) = -557.1
# - Fermi-level density of states (states/eV/cell) = 11.897
# - ΔH_f (0 K) (kcal/mol of atoms) = -14.8
data_Y5In4
_chemical_formula_sum 'Y10 In8'
_symmetry_space_group_name_H-M 'P 1'
_symmetry_Int_Tables_number 1
_cell_length_a 6.5291
_cell_length_b 9.1783
_cell_length_c 9.1783
_cell_angle_alpha 120.00
_cell_angle_beta 90.00
_cell_angle_gamma 90.00
loop_
_symmetry_equiv_pos_as_xyz
'x,y,z'
loop_
_atom_site_label
_atom_site_fract_x
_atom_site_fract_y
_atom_site_fract_z
In1 0.0000 0.0000 0.0000
In2 0.5000 0.0000 0.0000
In3 0.7500 0.0000 0.3718
In4 0.7500 0.3718 0.0000
In5 0.7500 0.6282 0.6282
In6 0.2500 0.0000 0.6282
In7 0.2500 0.6282 0.0000
In8 0.2500 0.3718 0.3718
Y1 0.7500 0.0000 0.7105
Y2 0.7500 0.7105 0.0000
Y3 0.7500 0.2895 0.2895
Y4 0.2500 0.0000 0.2895
Y5 0.2500 0.2895 0.0000
Y6 0.2500 0.7105 0.7105
Y7 0.0000 0.3333 0.6667
Y8 0.5000 0.6667 0.3333
Y9 0.0000 0.6667 0.3333
Y10 0.5000 0.3333 0.6667

---

No. 6
# meta-GGA SCAN YIn2, PBEsol geometry
# - ρ (Mg/m³) = 7.2
# - total energy (eV/cell) = -192.5
# - Fermi-level density of states (states/eV/cell) = 3.141
# - ΔH_f (0 K) (kcal/mol of atoms) = -12.7
data_YIn2
_chemical_formula_sum 'Y2 In4'
_symmetry_space_group_name_H-M 'P 1'
_symmetry_Int_Tables_number 1
_cell_length_a 4.5508
_cell_length_b 5.7399
_cell_length_c 6.4621
_cell_angle_alpha 107.11
_cell_angle_beta 90.00
_cell_angle_gamma 113.35
loop_
_symmetry_equiv_pos_as_xyz
'x,y,z'
loop_
_atom_site_label
_atom_site_fract_x
_atom_site_fract_y
_atom_site_fract_z
Y1 0.6518 0.3036 0.3148
Y2 0.3482 0.6964 0.6852
In1 0.6714 0.3428 0.8253
In2 0.3286 0.6572 0.1747
In3 0.0000 0.0000 0.5000
In4 0.0000 0.0000 0.0000

---

Question: Look up the ρ of the first one.
Answer: 6.0 Mg/m³

---

Question: The lowest ΔH_f (0 K) belongs to which entry?
Answer: Y5In4

---

Question: Among the records above, which one has the lowest ρ?
Answer: Y5In

---

Question: The highest Fermi-level density of states belongs to which entry?
Answer: Y5In3